## Mg2CrRu (PBE-GGA)

Data for a geometry-optimized Mg2CrRu structure.

Its crystal system is tetragonal. The offset from the most stable computed form comes out at 37.8 kJ per mole of atoms. The space-group type is P4/mmm (123). Its total energy is -20.341 eV/f.u. The energy of formation from the pure elements is 0.44 eV/atom.

Unit cell a=2.6714 b=2.6714 c=8.6290 alpha=90.00 beta=90.00 gamma=90.00
Sites, in units of the cell vectors:
Mg: 0.0000 0.0000 0.2485
Mg: 0.0000 0.0000 0.7515
Cr: 0.5000 0.5000 0.5000
Ru: 0.5000 0.5000 0.0000